DFT (PBEsol) results for a relaxed Al2SiAs2 crystal.

Properties
Spin magnetization: 0.000 μB per formula unit
Formation energy (no corrections): 179 meV/atom

a = 7.041 Å, b = 7.041 Å, c = 3.491 Å
α = 90.00°, β = 90.00°, γ = 90.00°
Space group P4/mbm (No. 127)
Symmetry-distinct sites (fractional):
Al1 0.137 0.363 0.000
Si1 0.000 0.000 0.000
As1 0.168 0.668 0.500